Record 1
# PBE CsMg3Cu, optimized geometry
# density of states at the Fermi level = 0.127 states/eV per atom
# DFT formation energy = 1.41 eV/atom
# spin magnetization = 0.0 μB/f.u.
# total DFT energy (no corrections) = -0.54 eV/atom
data_CsMg3Cu
_chemical_formula_sum 'Cs1 Mg3 Cu1'
_symmetry_space_group_name_H-M 'P m -3 m'
_symmetry_Int_Tables_number 221
_symmetry_space_group_name_Hall '-P 4 2 3'
_cell_length_a 7.314
_cell_length_b 7.314
_cell_length_c 7.314
_cell_angle_alpha 90.00
_cell_angle_beta 90.00
_cell_angle_gamma 90.00
loop_
_atom_site_label
_atom_site_fract_x
_atom_site_fract_y
_atom_site_fract_z
Cs1 0.000 0.000 0.000
Mg1 0.000 0.000 0.500
Cu1 0.500 0.500 0.500

Record 2
# PBE Rb5Sr3Br12, optimized geometry
# density of states at the Fermi level = 1.182 states/eV per atom
# formation energy (no corrections) = -1651 meV/atom
# spin magnetization = 1.1 μB/f.u.
# total DFT energy (no corrections) = -3.15 eV/atom
data_Rb5Sr3Br12
_chemical_formula_sum 'Rb40 Sr24 Br96'
_symmetry_space_group_name_H-M 'I a -3 d'
_symmetry_Int_Tables_number 230
_symmetry_space_group_name_Hall '-I 4bd 2c 3'
_cell_length_a 19.176
_cell_length_b 19.176
_cell_length_c 19.176
_cell_angle_alpha 90.00
_cell_angle_beta 90.00
_cell_angle_gamma 90.00
loop_
_atom_site_label
_atom_site_fract_x
_atom_site_fract_y
_atom_site_fract_z
Rb1 0.000 0.000 0.000
Rb2 0.000 0.250 0.375
Sr1 0.000 0.250 0.125
Br1 0.021 0.091 0.651

Record 3
# PBE Ta2OsPb, optimized geometry
# density of states at the Fermi level = 1.038 states/eV per atom
# DFT formation energy = 0.43 eV/atom
# spin magnetization = 0.0 μB/f.u.
# total DFT energy (no corrections) = -9.23 eV/atom
data_Ta2OsPb
_chemical_formula_sum 'Ta6 Os3 Pb3'
_symmetry_space_group_name_H-M 'R -3 m'
_symmetry_Int_Tables_number 166
_symmetry_space_group_name_Hall '-R 3 2"'
_cell_length_a 3.0550
_cell_length_b 3.0550
_cell_length_c 28.2720
_cell_angle_alpha 90.00
_cell_angle_beta 90.00
_cell_angle_gamma 120.00
loop_
_atom_site_label
_atom_site_fract_x
_atom_site_fract_y
_atom_site_fract_z
Ta1 0.0000 0.0000 0.2409
Os1 0.0000 0.0000 0.5000
Pb1 0.0000 0.0000 0.0000